Material: CaCe2Sm
Method: DFT, GGA-PBE
State: optimized geometry

a b c (Å): 3.4529 3.4529 38.1436
angles (deg): 90.00 90.00 120.00
Closest atoms and distances in Å follow each position.
Space group R-3m (No. 166, hexagonal axes)
Unique sites:
1 Ca 0.0000 0.0000 0.0000 [3 per cell]  2 Ce 3.39, 6 Ca 3.45
2 Ce 0.0000 0.0000 0.0888 [6 per cell]  1 Ca 3.39, 6 Ce 3.45, 3 Sm 3.58
3 Sm 0.0000 0.0000 0.5000 [3 per cell]  6 Sm 3.45, 6 Ce 3.58

## Properties
E_form, eV/atom: 0.25
DFT total energy, Ry per atom: -0.323
Crystal system: trigonal